Entry 1:
Computed, not measured: a relaxed Mg5Hg2Rh2Au crystal at the PBE-GGA level of DFT.

Cell: 3.8125 10.0062 10.0062 Å, 90.00 90.00 90.00°
Element x y z (fractional)
1 Au 0.0000 0.5000 0.5000
2 Au 0.0000 0.0000 0.0000
3 Hg 0.0000 0.3278 0.8278
4 Hg 0.0000 0.6722 0.1722
5 Hg 0.0000 0.8278 0.6722
6 Hg 0.0000 0.1722 0.3278
7 Mg 0.5000 0.1987 0.0812
8 Mg 0.5000 0.3013 0.5812
9 Mg 0.5000 0.8013 0.9188
10 Mg 0.5000 0.5000 0.0000
11 Mg 0.5000 0.0812 0.8013
12 Mg 0.5000 0.4188 0.3013
13 Mg 0.5000 0.0000 0.5000
14 Mg 0.5000 0.5812 0.6987
15 Mg 0.5000 0.9188 0.1987
16 Mg 0.5000 0.6987 0.4188
17 Rh 0.0000 0.1230 0.6230
18 Rh 0.0000 0.3770 0.1230
19 Rh 0.0000 0.6230 0.8770
20 Rh 0.0000 0.8770 0.3770

Results
- calculated volume (Å³/cell) = 381.73
- magnetic moment (Bohr magnetons per cell) = 0.0
- calculated formation energy (eV per formula unit) = -3.263
- space-group type = P4/mbm
- E_tot (eV per atom) = -2.982

Entry 2:
Computed, not measured: a relaxed Sm2Ni3Sn4Rh crystal at the PBE-GGA level of DFT.

Cell: 4.4153 4.4153 10.4133 Å, 90.00 90.00 90.00°
Element x y z (fractional)
1 Sm 0.5000 0.0000 0.2546
2 Sm 0.0000 0.5000 0.7454
3 Ni 0.0000 0.0000 0.5000
4 Ni 0.0000 0.5000 0.1273
5 Ni 0.5000 0.0000 0.8727
6 Sn 0.0000 0.0000 0.0000
7 Sn 0.0000 0.5000 0.3658
8 Sn 0.5000 0.5000 0.0000
9 Sn 0.5000 0.0000 0.6342
10 Rh 0.5000 0.5000 0.5000

Results
- calculated volume (Å³/cell) = 203.01
- magnetic moment (Bohr magnetons per cell) = 0.0
- calculated formation energy (eV per formula unit) = -5.591
- space-group type = P-4m2
- E_tot (eV per atom) = -5.574

Entry 3:
Computed, not measured: a relaxed CoAgBr2 crystal at the PBE-GGA level of DFT.

Cell: 7.6896 7.6896 7.6896 Å, 151.55 151.55 40.67°
Each line ends with the local moment (μB).
Element x y z (fractional)
1 Co 0.5000 0.5000 0.0000  1.96
2 Br 0.2500 0.7500 0.5000  0.00
3 Br 0.0000 0.0000 0.0000  0.07
4 Ag 0.7500 0.2500 0.5000  0.00

Results
- relative energy among the computed polymorphs (meV/atom) = 287
- calculated volume (Å³/cell) = 102.96
- formation energy without anion corrections (eV per atom) = 0.283
- magnetic moment (Bohr magnetons per cell) = 2.0
- space-group type = I-4m2
- E_tot (eV per atom) = -3.043

Entry 4:
Computed, not measured: a relaxed MnI2NCl crystal at the PBE-GGA level of DFT.

Cell: 6.8116 6.8116 3.3412 Å, 90.00 90.00 90.00°
Each line ends with the local moment (μB).
Element x y z (fractional)
1 I 0.0000 0.5000 0.0000  -0.08
2 I 0.5000 0.0000 0.0000  -0.08
3 Cl 0.0000 0.0000 0.0000  0.11
4 N 0.0000 0.0000 0.5000  0.30
5 Mn 0.5000 0.5000 0.5000  4.41

Results
- relative energy among the computed polymorphs (meV/atom) = 979
- calculated volume (Å³/cell) = 155.03
- formation energy without anion corrections (eV per atom) = 1.293
- magnetic moment (Bohr magnetons per cell) = 5.2
- space-group type = P4/mmm
- E_tot (eV per atom) = -3.196